(1)
Here is a relaxed V2CoPdN crystal from Alexandria via LeMat-Bulk. Energies are from GGA-PBE.

## Properties
E_form (uncorrected) = -0.435 eV/atom
Density of states at the Fermi level = 6.38 states/eV per cell
Volume = 58.61 Å³/cell
SG = No. 123

Lattice parameters (Å, degrees): 3.930 3.930 3.795 90.00 90.00 90.00
Atoms (fractional coordinates):
V (0.000, 0.500, 0.000)
V (0.500, 0.000, 0.000)
Co (0.000, 0.000, 0.500)
Pd (0.500, 0.500, 0.500)
N (0.000, 0.000, 0.000)

(2)
Here is a relaxed VCo2PdN crystal from Alexandria via LeMat-Bulk. Energies are from GGA-PBE.

## Properties
E_form (uncorrected) = -0.229 eV/atom
Density of states at the Fermi level = 5.28 states/eV per cell
Volume = 56.73 Å³/cell
SG = No. 123

Lattice parameters (Å, degrees): 3.813 3.813 3.901 90.00 90.00 90.00
Atoms (fractional coordinates):
V (0.000, 0.000, 0.000)
Co (0.000, 0.500, 0.500)
Co (0.500, 0.000, 0.500)
Pd (0.500, 0.500, 0.000)
N (0.000, 0.000, 0.500)

(3)
Here is a relaxed YCoPd2N crystal from Alexandria via LeMat-Bulk. Energies are from GGA-PBE.

## Properties
E_form (uncorrected) = 1.087 eV/atom
Density of states at the Fermi level = 2.92 states/eV per cell
Volume = 102.98 Å³/cell
SG = No. 123

Lattice parameters (Å, degrees): 4.393 4.393 5.335 90.00 90.00 90.00
Atoms (fractional coordinates):
Y (0.000, 0.000, 0.000)
Co (0.000, 0.000, 0.500)
Pd (0.000, 0.500, 0.500)
Pd (0.500, 0.000, 0.500)
N (0.500, 0.500, 0.000)

(4)
Here is a relaxed Y2CoPdN crystal from Alexandria via LeMat-Bulk. Energies are from GGA-PBE.

## Properties
E_form (uncorrected) = -0.926 eV/atom
Density of states at the Fermi level = 2.91 states/eV per cell
Volume = 86.70 Å³/cell
SG = No. 123

Lattice parameters (Å, degrees): 4.911 4.911 3.594 90.00 90.00 90.00
Atoms (fractional coordinates):
Y (0.000, 0.500, 0.000)
Y (0.500, 0.000, 0.000)
Co (0.000, 0.000, 0.500)
Pd (0.500, 0.500, 0.500)
N (0.000, 0.000, 0.000)

Among the records above, which one has the lowest density of states at the Fermi level?
Y2CoPdN

The lowest volume belongs to which entry?
VCo2PdN

Which value of E_form (uncorrected) does entry 3 give?
1.087 eV/atom

Repeat the fourth record exactly.
Here is a relaxed Y2CoPdN crystal from Alexandria via LeMat-Bulk. Energies are from GGA-PBE.

## Properties
E_form (uncorrected) = -0.926 eV/atom
Density of states at the Fermi level = 2.91 states/eV per cell
Volume = 86.70 Å³/cell
SG = No. 123

Lattice parameters (Å, degrees): 4.911 4.911 3.594 90.00 90.00 90.00
Atoms (fractional coordinates):
Y (0.000, 0.500, 0.000)
Y (0.500, 0.000, 0.000)
Co (0.000, 0.000, 0.500)
Pd (0.500, 0.500, 0.500)
N (0.000, 0.000, 0.000)